[1]
Below is a PBEsol-optimized structure of TlMoP2, with properties calculated at the meta-GGA SCAN level.

a b c (Å): 3.1914 3.1914 22.7981
angles (deg): 90.00 90.00 120.00
With the nearest neighbours (Å) after each atom.
Space group R3m (No. 160, hexagonal axes)
One atom of each set of equivalent atoms:
Tl (0.0000, 0.0000, 0.0000) x3  3 P 2.89, 3 Mo 2.94, 6 Tl 3.19
Mo (0.0000, 0.0000, 0.7671) x3  3 P 2.45
P (0.0000, 0.0000, 0.2359) x3  3 P 2.36
P (0.0000, 0.0000, 0.5045) x3  3 P 2.36, 3 Mo 2.45

ΔH_f (0 K) = 0.4404 eV per atom
E above lowest polymorph = 1.125 eV per formula unit
ρ = 8.97 Mg/m³


[2]
Below is a PBEsol-optimized structure of MgZrPb2, with properties calculated at the meta-GGA SCAN level.

a b c (Å): 5.3480 5.3480 3.3340
angles (deg): 90.00 90.00 90.00
With the nearest neighbours (Å) after each atom.
Space group P4/mmm (No. 123)
One atom of each set of equivalent atoms:
Mg (0.0000, 0.0000, 0.0000) x1  8 Pb 3.15, 2 Mg 3.33
Zr (0.5000, 0.5000, 0.0000) x1  8 Pb 3.15, 2 Zr 3.33
Pb (0.0000, 0.5000, 0.5000) x2  4 Zr 3.15, 4 Mg 3.15, 2 Pb 3.33

ΔH_f (0 K) = -0.2039 eV per atom
ρ = 9.23 Mg/m³


[3]
Below is a PBEsol-optimized structure of SrZrAs2, with properties calculated at the meta-GGA SCAN level.

a b c (Å): 3.6967 4.4473 5.4224
angles (deg): 90.00 90.00 90.00
With the nearest neighbours (Å) after each atom.
Space group Pmmm (No. 47)
One atom of each set of equivalent atoms:
Sr (0.0000, 0.0000, 0.0000) x1  4 As 2.89
Zr (0.0000, 0.5000, 0.5000) x1  4 As 2.89
As (0.5000, 0.0000, 0.5000) x1  4 Zr 2.89
As (0.5000, 0.5000, 0.0000) x1  4 Sr 2.89

ΔH_f (0 K) = -0.6223 eV per atom
E above lowest polymorph = 2.768 eV per formula unit
ρ = 6.12 Mg/m³


[4]
Below is a PBEsol-optimized structure of MnAg2Ir, with properties calculated at the meta-GGA SCAN level.

a b c (Å): 9.4851 2.8006 4.6099
angles (deg): 90.00 101.21 90.00
With the nearest neighbours (Å) after each atom.
Space group C2/m (No. 12)
One atom of each set of equivalent atoms:
Mn (0.0000, 0.0000, 0.0000) x2  4 Ir 2.70, 2 Mn 2.80, 6 Ag 2.80-2.83
Ag (0.2499, 0.0000, 0.7505) x4  6 Ag 2.69-2.80, 3 Ir 2.80-2.83, 3 Mn 2.80-2.83
Ir (0.0000, 0.5000, 0.5000) x2  4 Mn 2.70, 2 Ir 2.80, 6 Ag 2.80-2.83

ΔH_f (0 K) = 0.0778 eV per atom
E above lowest polymorph = 0.222 eV per formula unit
ρ = 12.80 Mg/m³


[5]
Below is a PBEsol-optimized structure of SbBr2Cl, with properties calculated at the meta-GGA SCAN level.

a b c (Å): 5.2592 13.9179 3.9894
angles (deg): 90.00 90.00 90.00
With the nearest neighbours (Å) after each atom.
Space group Cmmm (No. 65)
One atom of each set of equivalent atoms:
Sb (0.0000, 0.0000, 0.0000) x2  2 Cl 2.63, 4 Br 2.80
Br (0.0000, 0.1415, 0.5000) x4  2 Sb 2.80
Cl (0.0000, 0.5000, 0.0000) x2  2 Sb 2.63

ΔE_f (raw) = -0.64 eV/atom
E above lowest polymorph = 0.005 eV per formula unit
ρ = 3.61 Mg/m³


[6]
Below is a PBEsol-optimized structure of AlCl3O, with properties calculated at the meta-GGA SCAN level.

a b c (Å): 4.4622 4.4622 4.4622
angles (deg): 90.00 90.00 90.00
With the nearest neighbours (Å) after each atom.
Space group Pm-3m (No. 221)
One atom of each set of equivalent atoms:
Al (0.0000, 0.0000, 0.0000) x1  12 Cl 3.16
Cl (0.0000, 0.5000, 0.5000) x3  2 O 2.23
O (0.5000, 0.5000, 0.5000) x1  6 Cl 2.23

ΔE_f (raw) = 0.37 eV/atom
ρ = 2.79 Mg/m³


[7]
Below is a PBEsol-optimized structure of MgAuSeN2, with properties calculated at the meta-GGA SCAN level.

a b c (Å): 3.9362 3.9362 5.5140
angles (deg): 90.00 90.00 90.00
With the nearest neighbours (Å) after each atom.
Space group P4/mmm (No. 123)
One atom of each set of equivalent atoms:
Mg (0.0000, 0.0000, 0.0000) x1  4 N 1.97
Au (0.5000, 0.5000, 0.5000) x1  4 Se 2.78
Se (0.0000, 0.0000, 0.5000) x1  2 Mg 2.76, 4 Au 2.78
N (0.0000, 0.5000, 0.0000) x2  2 Mg 1.97

ΔE_f (raw) = 1.15 eV/atom
ρ = 6.38 Mg/m³


[8]
Below is a PBEsol-optimized structure of IrRuAu, with properties calculated at the meta-GGA SCAN level.

a b c (Å): 4.4023 4.4023 2.6808
angles (deg): 90.00 90.00 120.00
With the nearest neighbours (Å) after each atom.
Space group P3m1 (No. 156)
One atom of each set of equivalent atoms:
Ir (0.0000, 0.0000, 0.0000) x1  3 Au 2.61, 2 Ir 2.68, 6 Ru 2.86-2.89
Ru (0.6667, 0.3333, 0.4906) x1  3 Au 2.66, 2 Ru 2.68, 6 Ir 2.86-2.89
Au (0.3333, 0.6667, 0.7855) x1  3 Ir 2.61, 3 Ru 2.66, 2 Au 2.68

ΔH_f (0 K) = 0.6090 eV per atom
E above lowest polymorph = 0.000 eV per formula unit
ρ = 18.09 Mg/m³


[9]
Below is a PBEsol-optimized structure of SiTc2Ir, with properties calculated at the meta-GGA SCAN level.

a b c (Å): 8.9312 2.7530 4.4770
angles (deg): 90.00 99.11 90.00
With the nearest neighbours (Å) after each atom.
Space group C2/m (No. 12)
One atom of each set of equivalent atoms:
Si (0.0000, 0.0000, 0.0000) x2  6 Tc 2.61-2.73, 4 Ir 2.63, 2 Si 2.75
Tc (0.2460, 0.0000, 0.7519) x4  6 Tc 2.60-2.75, 3 Si 2.61-2.73, 3 Ir 2.69
Ir (0.0000, 0.5000, 0.5000) x2  4 Si 2.63, 6 Tc 2.69, 2 Ir 2.75

ΔE_f (raw) = -0.20 eV/atom
ρ = 12.72 Mg/m³


[10]
Below is a PBEsol-optimized structure of Si3H, with properties calculated at the meta-GGA SCAN level.

a b c (Å): 3.8331 3.8331 11.2277
angles (deg): 90.00 90.00 120.00
With the nearest neighbours (Å) after each atom.
Space group P-3m1 (No. 164)
One atom of each set of equivalent atoms:
Si (0.3333, 0.6667, 0.0354) x2  4 Si 2.35-2.36
Si (0.3333, 0.6667, 0.2458) x2  4 Si 2.34-2.36
Si (0.3333, 0.6667, 0.6863) x2  1 H 1.51
H (0.3333, 0.6667, 0.5519) x2  1 Si 1.51

E_tot = -8.3485 eV per atom
ρ = 1.98 Mg/m³


[11]
Below is a PBEsol-optimized structure of LaSn4Rh2, with properties calculated at the meta-GGA SCAN level.

a b c (Å): 18.4046 4.5179 7.1033
angles (deg): 90.00 90.00 90.00
With the nearest neighbours (Å) after each atom.
Space group Pnma (No. 62)
One atom of each set of equivalent atoms:
La (0.1413, 0.2500, 0.0013) x4  9 Sn 3.17-3.54, 4 Rh 3.48-3.50
Sn (0.0316, 0.7500, 0.8629) x4  3 Rh 2.69-2.76
Sn (0.0681, 0.2500, 0.4802) x4  4 Rh 2.68-2.85
Sn (0.1825, 0.7500, 0.3014) x4  4 Rh 2.75-2.80, 1 Sn 2.98
Sn (0.1944, 0.7500, 0.7196) x4  3 Rh 2.70-2.71, 1 Sn 2.98
Rh (0.0344, 0.7500, 0.2514) x4  7 Sn 2.68-2.85
Rh (0.2132, 0.2500, 0.5148) x4  7 Sn 2.68-2.80

ΔH_f (0 K) = -0.7178 eV per atom
ρ = 9.22 Mg/m³


[12]
Below is a PBEsol-optimized structure of CaSc2Os, with properties calculated at the meta-GGA SCAN level.

a b c (Å): 3.2252 3.2252 8.9334
angles (deg): 90.00 90.00 90.00
With the nearest neighbours (Å) after each atom.
Space group P4/mmm (No. 123)
One atom of each set of equivalent atoms:
Ca (0.0000, 0.0000, 0.0000) x1  4 Ca 3.23
Sc (0.5000, 0.5000, 0.3303) x2  4 Os 2.74, 1 Sc 3.03
Os (0.0000, 0.0000, 0.5000) x1  8 Sc 2.74

ΔH_f (0 K) = -0.3203 eV per atom
E above lowest polymorph = 0.000 eV per formula unit
ρ = 5.72 Mg/m³


[13]
Below is a PBEsol-optimized structure of CsMgBr2, with properties calculated at the meta-GGA SCAN level.

a b c (Å): 8.0438 8.0438 8.0438
angles (deg): 90.00 90.00 90.00
With the nearest neighbours (Å) after each atom.
Space group Fm-3m (No. 225)
One atom of each set of equivalent atoms:
Cs (0.0000, 0.0000, 0.0000) x4  8 Br 3.48
Mg (0.0000, 0.0000, 0.5000) x4  8 Br 3.48
Br (0.2500, 0.2500, 0.2500) x8  4 Mg 3.48, 4 Cs 3.48

ΔE_f (raw) = -1.09 eV/atom
ρ = 4.05 Mg/m³


[14]
Below is a PBEsol-optimized structure of SbS2Br, with properties calculated at the meta-GGA SCAN level.

a b c (Å): 6.7780 6.7780 6.7780
angles (deg): 90.00 90.00 90.00
With the nearest neighbours (Å) after each atom.
Space group Fm-3m (No. 225)
One atom of each set of equivalent atoms:
Sb (0.0000, 0.0000, 0.0000) x4  8 S 2.93
S (0.2500, 0.2500, 0.2500) x8  4 Sb 2.93, 4 Br 2.93
Br (0.0000, 0.0000, 0.5000) x4  8 S 2.93

ΔE_f (raw) = 0.56 eV/atom
ρ = 5.67 Mg/m³


[15]
Below is a PBEsol-optimized structure of TiCr3B, with properties calculated at the meta-GGA SCAN level.

a b c (Å): 3.8936 3.8936 3.8936
angles (deg): 90.00 90.00 90.00
With the nearest neighbours (Å) after each atom.
Space group Pm-3m (No. 221)
One atom of each set of equivalent atoms:
Ti (0.0000, 0.0000, 0.0000) x1  12 Cr 2.75
Cr (0.0000, 0.5000, 0.5000) x3  2 B 1.95
B (0.5000, 0.5000, 0.5000) x1  6 Cr 1.95

ΔH_f (0 K) = 0.2224 eV per atom
ρ = 6.04 Mg/m³


[16]
Below is a PBEsol-optimized structure of Cd2TcAu, with properties calculated at the meta-GGA SCAN level.

a b c (Å): 9.4918 2.7860 5.2318
angles (deg): 90.00 98.65 90.00
With the nearest neighbours (Å) after each atom.
Space group C2/m (No. 12)
One atom of each set of equivalent atoms:
Cd (0.2488, 0.0000, 0.2434) x4  6 Cd 2.79-3.02, 3 Tc 2.87, 3 Au 2.89-2.91
Tc (0.0000, 0.5000, 0.0000) x2  2 Tc 2.79, 6 Cd 2.87, 4 Au 2.96
Au (0.0000, 0.0000, 0.5000) x2  2 Au 2.79, 6 Cd 2.89-2.91, 4 Tc 2.96

ΔH_f (0 K) = 0.2808 eV per atom
ρ = 12.62 Mg/m³


[17]
Below is a PBEsol-optimized structure of ZrSn3W, with properties calculated at the meta-GGA SCAN level.

a b c (Å): 5.3803 5.3803 5.3803
angles (deg): 90.00 90.00 90.00
With the nearest neighbours (Å) after each atom.
Space group Pm-3m (No. 221)
One atom of each set of equivalent atoms:
Zr (0.0000, 0.0000, 0.0000) x1  6 Sn 2.69
Sn (0.0000, 0.0000, 0.5000) x3  2 Zr 2.69
W (0.5000, 0.5000, 0.5000) x1  12 Sn 3.80

ΔH_f (0 K) = 1.5696 eV per atom
ρ = 6.73 Mg/m³


[18]
Below is a PBEsol-optimized structure of P4S3, with properties calculated at the meta-GGA SCAN level.

a b c (Å): 10.1595 9.4181 14.0663
angles (deg): 90.00 90.00 90.00
With the nearest neighbours (Å) after each atom.
Space group Pnma (No. 62)
One atom of each set of equivalent atoms:
P (0.0203, 0.2500, 0.0081) x4  3 S 2.11
P (0.0370, 0.1308, 0.7465) x8  1 S 2.09, 2 P 2.25
P (0.0368, 0.7500, 0.4673) x4  3 S 2.11-2.12
P (0.0727, 0.2500, 0.2394) x4  1 S 2.09, 2 P 2.25
P (0.2094, 0.2500, 0.6862) x4  1 S 2.10, 2 P 2.25
P (0.2345, 0.1304, 0.1651) x8  1 S 2.09, 2 P 2.25
S (0.0743, 0.5789, 0.3735) x8  2 P 2.09-2.12
S (0.0800, 0.7500, 0.8602) x4  2 P 2.09-2.11
S (0.1511, 0.0797, 0.0335) x8  2 P 2.09-2.11
S (0.1706, 0.2500, 0.5398) x4  2 P 2.10-2.11

ΔE_f (raw) = -0.15 eV/atom
ρ = 2.17 Mg/m³


[19]
Below is a PBEsol-optimized structure of MgAsIr2, with properties calculated at the meta-GGA SCAN level.

a b c (Å): 6.2565 6.2565 6.2565
angles (deg): 90.00 90.00 90.00
With the nearest neighbours (Å) after each atom.
Space group F-43m (No. 216)
One atom of each set of equivalent atoms:
Mg (0.0000, 0.0000, 0.0000) x4  4 Ir 2.71, 4 As 2.71
As (0.2500, 0.2500, 0.2500) x4  4 Mg 2.71, 4 Ir 2.71
Ir (0.0000, 0.0000, 0.5000) x4  4 As 2.71, 4 Ir 2.71
Ir (0.2500, 0.2500, 0.7500) x4  4 Ir 2.71, 4 Mg 2.71

ΔH_f (0 K) = 0.1554 eV per atom
E above lowest polymorph = 1.759 eV per formula unit
ρ = 13.12 Mg/m³


[20]
Below is a PBEsol-optimized structure of Pa, with properties calculated at the meta-GGA SCAN level.

a b c (Å): 4.5776 4.5776 4.5776
angles (deg): 90.00 90.00 90.00
With the nearest neighbours (Å) after each atom.
Space group Fm-3m (No. 225)
One atom of each set of equivalent atoms:
Pa (0.0000, 0.0000, 0.0000) x4  12 Pa 3.24

ΔH_f (0 K) = 0.0293 eV per atom
E above lowest polymorph = 0.029 eV per formula unit
ρ = 16.00 Mg/m³